{
  "formula": "CaNdMo2O8",
  "functional": "PBE+U",
  "state": "optimized geometry",
  "volume_a3_per_cell": 165,
  "spacegroup": "No. 82",
  "magmom_total_mub_per_fu": 1.00,
  "dft_energy_ha_per_atom": -0.2717,
  "cell": [[5.338, 0.000, 0.000], [0.000, 5.338, 0.000], [-2.669, -2.669, 5.803]],
  "species": ["Ca", "Nd", "Mo", "Mo", "O", "O", "O", "O", "O", "O", "O", "O"],
  "fractional_positions": [[0.000, 0.000, 0.000], [0.750, 0.250, 0.500], [0.500, 0.500, 0.000], [0.250, 0.750, 0.500], [0.740, 0.823, 0.167], [0.426, 0.344, 0.167], [0.589, 0.669, 0.664], [0.075, 0.995, 0.664], [0.005, 0.411, 0.336], [0.331, 0.925, 0.336], [0.177, 0.574, 0.833], [0.656, 0.260, 0.833]]
}